# Dy5ThHg6

Crystalline Dy5ThHg6 at its relaxed geometry (PBE-GGA, Alexandria via LeMat-Bulk).

Calculated values
Crystal system   orthorhombic
ΔE_f   -0.426 eV/atom

Structure (CIF):
```
data_Dy5ThHg6
_cell_length_a 5.256
_cell_length_b 7.559
_cell_length_c 15.767
_cell_angle_alpha 90.00
_cell_angle_beta 90.00
_cell_angle_gamma 90.00
_space_group_name_H-M_alt 'I m m m'
_space_group_IT_number 71
_space_group_name_Hall '-I 2 2'
loop_
_atom_site_label
_atom_site_type_symbol
_atom_site_fract_x
_atom_site_fract_y
_atom_site_fract_z
_atom_site_occupancy
Dy1 Dy 0.000 0.000 0.000 1
Dy2 Dy 0.000 0.000 0.341 1
Dy3 Dy 0.000 0.500 0.329 1
Th1 Th 0.000 0.500 0.000 1
Hg1 Hg 0.000 0.238 0.171 1
Hg2 Hg 0.000 0.270 0.500 1
```

# La2InTe

Crystalline La2InTe at its relaxed geometry (PBE-GGA, Alexandria via LeMat-Bulk).

Calculated values
Crystal system   tetragonal
Raw formation energy   -0.363 eV per atom
Energy above the lowest structure with this stoichiometry   0.684 eV per atom

Structure (CIF):
```
data_La2InTe
_cell_length_a 6.927
_cell_length_b 6.927
_cell_length_c 15.818
_cell_angle_alpha 90.00
_cell_angle_beta 90.00
_cell_angle_gamma 90.00
_space_group_name_H-M_alt 'I -4 2 d'
_space_group_IT_number 122
_space_group_name_Hall 'I -4 2bw'
loop_
_atom_site_label
_atom_site_type_symbol
_atom_site_fract_x
_atom_site_fract_y
_atom_site_fract_z
_atom_site_occupancy
La1 La 0.245 0.250 0.125 1
In1 In 0.000 0.000 0.000 1
Te1 Te 0.000 0.000 0.500 1
```

# Co2ReRu

Crystalline Co2ReRu at its relaxed geometry (PBE-GGA, Alexandria via LeMat-Bulk).

Calculated values
Crystal system   tetragonal
ΔE_f   0.122 eV/atom
Energy above the lowest structure with this stoichiometry   0.069 eV per atom

Structure (CIF):
```
data_Co2ReRu
_cell_length_a 2.666
_cell_length_b 2.666
_cell_length_c 7.142
_cell_angle_alpha 90.00
_cell_angle_beta 90.00
_cell_angle_gamma 90.00
_space_group_name_H-M_alt 'P 4 m m'
_space_group_IT_number 99
loop_
_space_group_symop_operation_xyz
'x,y,z'
'-y,x,z'
'-x,-y,z'
'y,-x,z'
'-x,y,z'
'y,x,z'
'x,-y,z'
'-y,-x,z'
loop_
_atom_site_label
_atom_site_type_symbol
_atom_site_fract_x
_atom_site_fract_y
_atom_site_fract_z
_atom_site_occupancy
Co1 Co 0.000 0.000 0.000 1
Co2 Co 0.500 0.500 0.226 1
Re1 Re 0.000 0.000 0.473 1
Ru1 Ru 0.500 0.500 0.751 1
```

# NaInSn

Crystalline NaInSn at its relaxed geometry (PBE-GGA, Alexandria via LeMat-Bulk).

Calculated values
Crystal system   monoclinic
ΔE_f   -0.106 eV/atom

Structure (CIF):
```
data_NaInSn
_cell_length_a 6.216
_cell_length_b 3.219
_cell_length_c 8.127
_cell_angle_alpha 90.00
_cell_angle_beta 98.61
_cell_angle_gamma 90.00
_space_group_name_H-M_alt 'P 1 m 1'
_space_group_IT_number 6
loop_
_space_group_symop_operation_xyz
'x,y,z'
'x,-y,z'
loop_
_atom_site_label
_atom_site_type_symbol
_atom_site_fract_x
_atom_site_fract_y
_atom_site_fract_z
_atom_site_occupancy
Na1 Na 0.000 0.000 0.000 1
Na2 Na 0.380 0.000 0.367 1
In1 In 0.188 0.500 0.685 1
In2 In 0.874 0.500 0.338 1
Sn1 Sn 0.505 0.500 0.025 1
Sn2 Sn 0.688 0.500 0.685 1
```

# GdCuBi2

Crystalline GdCuBi2 at its relaxed geometry (PBE-GGA, Alexandria via LeMat-Bulk).

Calculated values
Crystal system   tetragonal
ΔE_f   -0.274 eV/atom

Structure (CIF):
```
data_GdCuBi2
_cell_length_a 4.844
_cell_length_b 4.844
_cell_length_c 4.357
_cell_angle_alpha 90.00
_cell_angle_beta 90.00
_cell_angle_gamma 90.00
_space_group_name_H-M_alt 'P 4/m m m'
_space_group_IT_number 123
_space_group_name_Hall '-P 4 2'
loop_
_atom_site_label
_atom_site_type_symbol
_atom_site_fract_x
_atom_site_fract_y
_atom_site_fract_z
_atom_site_occupancy
Gd1 Gd 0.000 0.000 0.000 1
Cu1 Cu 0.500 0.500 0.000 1
Bi1 Bi 0.000 0.500 0.500 1
```

# La6Tl2CoOs

Crystalline La6Tl2CoOs at its relaxed geometry (PBE-GGA, Alexandria via LeMat-Bulk).

Calculated values
Crystal system   triclinic
ΔE_f   -0.246 eV/atom

Structure (CIF):
```
data_La6Tl2CoOs
_cell_length_a 7.587
_cell_length_b 7.612
_cell_length_c 7.722
_cell_angle_alpha 119.45
_cell_angle_beta 119.10
_cell_angle_gamma 90.24
_space_group_name_H-M_alt 'P -1'
_space_group_IT_number 2
loop_
_space_group_symop_operation_xyz
'x,y,z'
'-x,-y,-z'
loop_
_atom_site_label
_atom_site_type_symbol
_atom_site_fract_x
_atom_site_fract_y
_atom_site_fract_z
_atom_site_occupancy
La1 La 0.180 0.292 0.481 1
La2 La 0.250 0.270 0.998 1
La3 La 0.312 0.818 0.519 1
Tl1 Tl 0.249 0.745 0.001 1
Co1 Co 0.000 0.000 0.500 1
Os1 Os 0.500 0.500 0.500 1
```

no.,magnetic moment (μB per atom),E_tot (Ry per atom)
1,0.171,-0.2288
2,0.000,-0.3158
3,0.619,-0.6514
4,0.000,-0.2052
5,1.740,-0.4967
6,0.000,-0.4050